a) # Nd2Pd2O5 | the Open Quantum Materials Database | PBE | optimized geometry
# theoretical density	6.95	g cm⁻³
data_Nd2Pd2O5
_chemical_formula_sum 'Nd2 Pd2 O5'
_symmetry_space_group_name_H-M 'P 4/m m m'
_symmetry_Int_Tables_number 123
_symmetry_space_group_name_Hall '-P 4 2'
_cell_length_a 3.833
_cell_length_b 3.833
_cell_length_c 9.451
_cell_angle_alpha 90.00
_cell_angle_beta 90.00
_cell_angle_gamma 90.00
loop_
_atom_site_label
_atom_site_fract_x
_atom_site_fract_y
_atom_site_fract_z
Nd1 0.000 0.000 0.243
Pd1 0.500 0.500 0.000
Pd2 0.500 0.500 0.500
O1 0.000 0.000 0.000
O2 0.000 0.500 0.371

---

b) # Nd2Pd2O5 | the Open Quantum Materials Database | PBE | optimized geometry
# theoretical density	8.36	g cm⁻³
data_Nd2Pd2O5
_chemical_formula_sum 'Nd2 Pd2 O5'
_symmetry_space_group_name_H-M 'P 4/m m m'
_symmetry_Int_Tables_number 123
_symmetry_space_group_name_Hall '-P 4 2'
_cell_length_a 4.048
_cell_length_b 4.048
_cell_length_c 7.052
_cell_angle_alpha 90.00
_cell_angle_beta 90.00
_cell_angle_gamma 90.00
loop_
_atom_site_label
_atom_site_fract_x
_atom_site_fract_y
_atom_site_fract_z
Nd1 0.000 0.000 0.000
Nd2 0.000 0.000 0.500
Pd1 0.500 0.500 0.194
O1 0.000 0.500 0.228
O2 0.500 0.500 0.500

---

Last place for stability: a)

---

a) # Pm2Nd2O5 | the Open Quantum Materials Database | PBE | optimized geometry
# theoretical density	7.20	g cm⁻³
data_Pm2Nd2O5
_chemical_formula_sum 'Pm2 Nd2 O5'
_symmetry_space_group_name_H-M 'P 4/m m m'
_symmetry_Int_Tables_number 123
_symmetry_space_group_name_Hall '-P 4 2'
_cell_length_a 4.560
_cell_length_b 4.560
_cell_length_c 7.302
_cell_angle_alpha 90.00
_cell_angle_beta 90.00
_cell_angle_gamma 90.00
loop_
_atom_site_label
_atom_site_fract_x
_atom_site_fract_y
_atom_site_fract_z
Pm1 0.000 0.000 0.000
Pm2 0.000 0.000 0.500
Nd1 0.500 0.500 0.210
O1 0.000 0.500 0.215
O2 0.500 0.500 0.500

---

b) # Pm2Nd2O5 | the Open Quantum Materials Database | PBE | optimized geometry
# theoretical density	7.17	g cm⁻³
data_Pm2Nd2O5
_chemical_formula_sum 'Pm2 Nd2 O5'
_symmetry_space_group_name_H-M 'P 4/m m m'
_symmetry_Int_Tables_number 123
_symmetry_space_group_name_Hall '-P 4 2'
_cell_length_a 4.528
_cell_length_b 4.528
_cell_length_c 7.436
_cell_angle_alpha 90.00
_cell_angle_beta 90.00
_cell_angle_gamma 90.00
loop_
_atom_site_label
_atom_site_fract_x
_atom_site_fract_y
_atom_site_fract_z
Pm1 0.000 0.000 0.216
Nd1 0.500 0.500 0.000
Nd2 0.500 0.500 0.500
O1 0.000 0.000 0.500
O2 0.000 0.500 0.220

---

Last place for stability: a)

---

a) # PmNdTeO2 | the Open Quantum Materials Database | PBE | optimized geometry
# theoretical density	7.16	g cm⁻³
data_PmNdTeO2
_chemical_formula_sum 'Pm2 Nd2 Te2 O4'
_symmetry_space_group_name_H-M 'I 4 m m'
_symmetry_Int_Tables_number 107
_symmetry_space_group_name_Hall 'I 4 -2'
_cell_length_a 4.033
_cell_length_b 4.033
_cell_length_c 12.808
_cell_angle_alpha 90.00
_cell_angle_beta 90.00
_cell_angle_gamma 90.00
loop_
_atom_site_label
_atom_site_fract_x
_atom_site_fract_y
_atom_site_fract_z
Pm1 0.000 0.000 0.000
Nd1 0.000 0.000 0.319
Te1 0.000 0.000 0.660
O1 0.000 0.500 0.411

---

b) # PmNdTeO2 | the Open Quantum Materials Database | PBE | optimized geometry
# theoretical density	7.17	g cm⁻³
data_PmNdTeO2
_chemical_formula_sum 'Pm1 Nd1 Te1 O2'
_symmetry_space_group_name_H-M 'P 3 m 1'
_symmetry_Int_Tables_number 156
_cell_length_a 4.0286
_cell_length_b 4.0286
_cell_length_c 7.3910
_cell_angle_alpha 90.00
_cell_angle_beta 90.00
_cell_angle_gamma 120.00
loop_
_symmetry_equiv_pos_as_xyz
'x,y,z'
'-y,x-y,z'
'-x+y,-x,z'
'-y,-x,z'
'-x+y,y,z'
'x,x-y,z'
loop_
_atom_site_label
_atom_site_fract_x
_atom_site_fract_y
_atom_site_fract_z
Pm1 0.0000 0.0000 0.0000
Nd1 0.3333 0.6667 0.6037
Te1 0.6667 0.3333 0.3004
O1 0.0000 0.0000 0.6829
O2 0.3333 0.6667 0.9244

---

Last place for stability: b)

---

a) # PrNdTeO2 | the Open Quantum Materials Database | PBE | optimized geometry
# theoretical density	6.95	g cm⁻³
data_PrNdTeO2
_chemical_formula_sum 'Pr2 Nd2 Te2 O4'
_symmetry_space_group_name_H-M 'I 4 m m'
_symmetry_Int_Tables_number 107
_symmetry_space_group_name_Hall 'I 4 -2'
_cell_length_a 4.060
_cell_length_b 4.060
_cell_length_c 12.891
_cell_angle_alpha 90.00
_cell_angle_beta 90.00
_cell_angle_gamma 90.00
loop_
_atom_site_label
_atom_site_fract_x
_atom_site_fract_y
_atom_site_fract_z
Pr1 0.000 0.000 0.000
Nd1 0.000 0.000 0.317
Te1 0.000 0.000 0.658
O1 0.000 0.500 0.407

---

b) # PrNdTeO2 | the Open Quantum Materials Database | PBE | optimized geometry
# theoretical density	6.94	g cm⁻³
data_PrNdTeO2
_chemical_formula_sum 'Pr1 Nd1 Te1 O2'
_symmetry_space_group_name_H-M 'P 3 m 1'
_symmetry_Int_Tables_number 156
_cell_length_a 4.0642
_cell_length_b 4.0642
_cell_length_c 7.4437
_cell_angle_alpha 90.00
_cell_angle_beta 90.00
_cell_angle_gamma 120.00
loop_
_symmetry_equiv_pos_as_xyz
'x,y,z'
'-y,x-y,z'
'-x+y,-x,z'
'-y,-x,z'
'-x+y,y,z'
'x,x-y,z'
loop_
_atom_site_label
_atom_site_fract_x
_atom_site_fract_y
_atom_site_fract_z
Pr1 0.0000 0.0000 0.0000
Nd1 0.3333 0.6667 0.6025
Te1 0.6667 0.3333 0.3028
O1 0.0000 0.0000 0.6788
O2 0.3333 0.6667 0.9204

---

Last place for stability: b)

---

a) # RbNdSeO | the Open Quantum Materials Database | PBE | optimized geometry
# theoretical density	5.06	g cm⁻³
data_RbNdSeO
_chemical_formula_sum 'Rb4 Nd4 Se4 O4'
_symmetry_space_group_name_H-M 'P 1 21 1'
_symmetry_Int_Tables_number 4
_cell_length_a 6.000
_cell_length_b 6.004
_cell_length_c 12.149
_cell_angle_alpha 90.00
_cell_angle_beta 102.90
_cell_angle_gamma 90.00
loop_
_symmetry_equiv_pos_as_xyz
'x,y,z'
'-x,y+1/2,-z'
loop_
_atom_site_label
_atom_site_fract_x
_atom_site_fract_y
_atom_site_fract_z
Rb1 0.047 0.000 0.104
Rb2 0.453 0.999 0.895
Nd1 0.043 0.265 0.592
Nd2 0.457 0.265 0.408
Se1 0.098 0.497 0.220
Se2 0.402 0.496 0.780
O1 0.250 0.017 0.500
O2 0.250 0.518 0.500

---

b) # RbNdSeO | the Open Quantum Materials Database | PBE | optimized geometry
# theoretical density	3.86	g cm⁻³
data_RbNdSeO
_chemical_formula_sum 'Rb2 Nd2 Se2 O2'
_symmetry_space_group_name_H-M 'P m c 21'
_symmetry_Int_Tables_number 26
_cell_length_a 4.751
_cell_length_b 8.565
_cell_length_c 6.860
_cell_angle_alpha 90.00
_cell_angle_beta 90.00
_cell_angle_gamma 90.00
loop_
_symmetry_equiv_pos_as_xyz
'x,y,z'
'-x,-y,z+1/2'
'-x,y,z'
'x,-y,z+1/2'
loop_
_atom_site_label
_atom_site_fract_x
_atom_site_fract_y
_atom_site_fract_z
Rb1 0.000 0.199 0.000
Nd1 0.500 0.377 0.426
Se1 0.000 0.202 0.510
O1 0.500 0.412 0.108

---

c) # RbNdSeO | the Open Quantum Materials Database | PBE | optimized geometry
# theoretical density	5.58	g cm⁻³
data_RbNdSeO
_chemical_formula_sum 'Rb2 Nd2 Se2 O2'
_symmetry_space_group_name_H-M 'P 4/n m m'
_symmetry_Int_Tables_number 129
_cell_length_a 4.317
_cell_length_b 4.317
_cell_length_c 10.377
_cell_angle_alpha 90.00
_cell_angle_beta 90.00
_cell_angle_gamma 90.00
loop_
_symmetry_equiv_pos_as_xyz
'x,y,z'
'-x,-y,-z'
'-y+1/2,x,z'
'y+1/2,-x,-z'
'-x+1/2,-y+1/2,z'
'x+1/2,y+1/2,-z'
'y,-x+1/2,z'
'-y,x+1/2,-z'
'x+1/2,-y,-z'
'-x+1/2,y,z'
'-y,-x,-z'
'y,x,z'
'-x,y+1/2,-z'
'x,-y+1/2,z'
'y+1/2,x+1/2,-z'
'-y+1/2,-x+1/2,z'
loop_
_atom_site_label
_atom_site_fract_x
_atom_site_fract_y
_atom_site_fract_z
Rb1 0.250 0.750 0.000
Nd1 0.250 0.250 0.401
Se1 0.250 0.250 0.767
O1 0.250 0.750 0.500

---

Last place for stability: c)

---

a) # RbNdSeO | the Open Quantum Materials Database | PBE | optimized geometry
# theoretical density	5.10	g cm⁻³
data_RbNdSeO
_chemical_formula_sum 'Rb4 Nd4 Se4 O4'
_symmetry_space_group_name_H-M 'P 1 21/c 1'
_symmetry_Int_Tables_number 14
_cell_length_a 8.126
_cell_length_b 7.762
_cell_length_c 6.870
_cell_angle_alpha 90.00
_cell_angle_beta 102.49
_cell_angle_gamma 90.00
loop_
_symmetry_equiv_pos_as_xyz
'x,y,z'
'-x,-y,-z'
'-x,y+1/2,-z+1/2'
'x,-y+1/2,z+1/2'
loop_
_atom_site_label
_atom_site_fract_x
_atom_site_fract_y
_atom_site_fract_z
Rb1 0.088 0.229 0.498
Nd1 0.473 0.628 0.777
Se1 0.246 0.587 0.354
O1 0.407 0.148 0.384

---

b) # RbNdSeO | the Open Quantum Materials Database | PBE | optimized geometry
# theoretical density	5.38	g cm⁻³
data_RbNdSeO
_chemical_formula_sum 'Rb3 Nd3 Se3 O3'
_symmetry_space_group_name_H-M 'R 3 m'
_symmetry_Int_Tables_number 160
_symmetry_space_group_name_Hall 'R 3 -2"'
_cell_length_a 3.9439
_cell_length_b 3.9439
_cell_length_c 22.3054
_cell_angle_alpha 90.00
_cell_angle_beta 90.00
_cell_angle_gamma 120.00
loop_
_atom_site_label
_atom_site_fract_x
_atom_site_fract_y
_atom_site_fract_z
Rb1 0.0000 0.0000 0.0000
Nd1 0.0000 0.0000 0.5208
Se1 0.0000 0.0000 0.7708
O1 0.0000 0.0000 0.2304

---

Last place for stability: b)

---

a) # RbNdTeO | the Open Quantum Materials Database | PBE | optimized geometry
# theoretical density	4.00	g cm⁻³
data_RbNdTeO
_chemical_formula_sum 'Rb2 Nd2 Te2 O2'
_symmetry_space_group_name_H-M 'P m c 21'
_symmetry_Int_Tables_number 26
_cell_length_a 4.948
_cell_length_b 8.798
_cell_length_c 7.122
_cell_angle_alpha 90.00
_cell_angle_beta 90.00
_cell_angle_gamma 90.00
loop_
_symmetry_equiv_pos_as_xyz
'x,y,z'
'-x,-y,z+1/2'
'-x,y,z'
'x,-y,z+1/2'
loop_
_atom_site_label
_atom_site_fract_x
_atom_site_fract_y
_atom_site_fract_z
Rb1 0.000 0.211 0.000
Nd1 0.500 0.389 0.404
Te1 0.000 0.199 0.509
O1 0.500 0.415 0.095

---

b) # RbNdTeO | the Open Quantum Materials Database | PBE | optimized geometry
# theoretical density	4.91	g cm⁻³
data_RbNdTeO
_chemical_formula_sum 'Rb4 Nd4 Te4 O4'
_symmetry_space_group_name_H-M 'P 1 21/c 1'
_symmetry_Int_Tables_number 14
_cell_length_a 9.642
_cell_length_b 7.739
_cell_length_c 6.950
_cell_angle_alpha 90.00
_cell_angle_beta 102.94
_cell_angle_gamma 90.00
loop_
_symmetry_equiv_pos_as_xyz
'x,y,z'
'-x,-y,-z'
'-x,y+1/2,-z+1/2'
'x,-y+1/2,z+1/2'
loop_
_atom_site_label
_atom_site_fract_x
_atom_site_fract_y
_atom_site_fract_z
Rb1 0.134 0.083 0.312
Nd1 0.489 0.639 0.788
Te1 0.253 0.570 0.355
O1 0.429 0.139 0.380

---

Last place for stability: a)

---

a) # Nd2SiTeO4 | the Open Quantum Materials Database | PBE | optimized geometry
# theoretical density	6.64	g cm⁻³
data_Nd2SiTeO4
_chemical_formula_sum 'Nd8 Si4 Te4 O16'
_symmetry_space_group_name_H-M 'P b c m'
_symmetry_Int_Tables_number 57
_cell_length_a 6.300
_cell_length_b 7.205
_cell_length_c 11.194
_cell_angle_alpha 90.00
_cell_angle_beta 90.00
_cell_angle_gamma 90.00
loop_
_symmetry_equiv_pos_as_xyz
'x,y,z'
'-x,-y,-z'
'-x,-y,z+1/2'
'x,y,-z+1/2'
'x,-y+1/2,-z'
'-x,y+1/2,z'
'-x,y+1/2,-z+1/2'
'x,-y+1/2,z+1/2'
loop_
_atom_site_label
_atom_site_fract_x
_atom_site_fract_y
_atom_site_fract_z
Nd1 0.111 0.250 0.000
Nd2 0.387 0.538 0.250
Si1 0.387 0.750 0.000
Te1 0.098 0.578 0.750
O1 0.231 0.576 0.035
O2 0.450 0.232 0.616

---

b) # Nd2SiTeO4 | the Open Quantum Materials Database | PBE | optimized geometry
# theoretical density	6.17	g cm⁻³
data_Nd2SiTeO4
_chemical_formula_sum 'Nd8 Si4 Te4 O16'
_symmetry_space_group_name_H-M 'P 1 21/c 1'
_symmetry_Int_Tables_number 14
_cell_length_a 9.799
_cell_length_b 6.429
_cell_length_c 8.708
_cell_angle_alpha 90.00
_cell_angle_beta 94.62
_cell_angle_gamma 90.00
loop_
_symmetry_equiv_pos_as_xyz
'x,y,z'
'-x,-y,-z'
'-x,y+1/2,-z+1/2'
'x,-y+1/2,z+1/2'
loop_
_atom_site_label
_atom_site_fract_x
_atom_site_fract_y
_atom_site_fract_z
Nd1 0.107 0.152 0.193
Nd2 0.350 0.696 0.335
Si1 0.126 0.691 0.057
Te1 0.405 0.213 0.387
O1 0.020 0.192 0.921
O2 0.126 0.632 0.875
O3 0.157 0.510 0.186
O4 0.251 0.638 0.590

---

Last place for stability: b)